(1)
Computed, not measured: a relaxed structure of LaDyY at the GGA-PBE level of DFT.

```
LaDyY
1.0
5.721 0.000 0.000
-2.860 4.954 0.000
0.000 0.000 3.535
La Dy Y
1 1 1
direct
0.000 0.000 0.000
0.333 0.667 0.000
0.667 0.333 0.500
```

Space-group type: P-6m2
Excess energy over the best structure of this formula in the dataset in kJ/mol of formula units: 15
Energy relative to the elements in eV per atom: 0.070

=====

(2)
Computed, not measured: a relaxed structure of Ca4Te3S at the GGA-PBE level of DFT.

```
Ca4Te3S
1.0
7.650 0.000 0.000
0.000 8.835 0.000
-2.544 0.000 7.178
Ca Te S
8 6 2
direct
0.229 0.114 0.005
0.229 0.886 0.505
0.243 0.362 0.487
0.243 0.638 0.987
0.757 0.362 0.013
0.757 0.638 0.513
0.771 0.114 0.495
0.771 0.886 0.995
0.000 0.373 0.750
0.000 0.627 0.250
0.500 0.123 0.750
0.500 0.374 0.250
0.500 0.626 0.750
0.500 0.877 0.250
0.000 0.120 0.250
0.000 0.880 0.750
```

Space-group type: P2/c

=====

(3)
Computed, not measured: a relaxed structure of LiVRh at the GGA-PBE level of DFT.

```
LiVRh
1.0
4.048 0.000 0.000
-2.024 3.505 0.000
0.000 0.000 5.618
Li V Rh
2 2 2
direct
0.333 0.667 0.426
0.667 0.333 0.574
0.333 0.667 0.902
0.667 0.333 0.098
0.000 0.000 0.243
0.000 0.000 0.757
```

Space-group type: P-3m1
Excess energy over the best structure of this formula in the dataset in kJ/mol of formula units: 38
Energy relative to the elements in eV per atom: -0.166

=====

Number 1: DOS at the Fermi energy 5.707 states/eV/f.u., total energy -5.262 eV/atom. Number 2: DOS at the Fermi energy 0.000 states/eV/f.u., total energy -4.431 eV/atom. Number 3: DOS at the Fermi energy 1.635 states/eV/f.u., total energy -6.294 eV/atom.